1 | Computed, not measured: a relaxed CrGaTc crystal at the PBE-GGA level of DFT.

abc: 3.6823 3.6823 6.8362
angles: 105.62 105.62 90.00
With the nearest neighbours (Å) after each atom.
Fractional coordinates of all 6 atoms:
Tc1 0.1463 0.1463 0.2927  5 Ga 2.59-2.60, 4 Cr 2.61
Tc2 0.8537 0.8537 0.7073  5 Ga 2.59-2.60, 4 Cr 2.61
Cr1 0.0000 0.5000 0.0000  4 Cr 2.60, 4 Tc 2.61, 4 Ga 2.63
Ga1 0.6490 0.6490 0.2980  5 Tc 2.59-2.60, 4 Cr 2.63
Cr2 0.5000 0.0000 0.0000  4 Cr 2.60, 4 Tc 2.61, 4 Ga 2.63
Ga2 0.3510 0.3510 0.7020  5 Tc 2.59-2.60, 4 Cr 2.63

Properties
N(E_F) = 4.67 states/eV per cell

2 | Computed, not measured: a relaxed CrGaTc crystal at the PBE-GGA level of DFT.

abc: 2.8066 2.8066 18.4045
angles: 90.00 90.00 120.00
With the nearest neighbours (Å) after each atom.
Fractional coordinates of all 9 atoms:
Ga1 0.0000 0.0000 0.8693  3 Cr 2.62, 3 Tc 2.73, 6 Ga 2.81
Cr1 0.0000 0.0000 0.0904  3 Tc 2.48, 3 Ga 2.62
Ga2 0.3333 0.6667 0.5360  3 Cr 2.62, 3 Tc 2.73, 6 Ga 2.81
Tc1 0.3333 0.6667 0.9886  3 Cr 2.48, 3 Ga 2.73
Cr2 0.6667 0.3333 0.4238  3 Tc 2.48, 3 Ga 2.62
Tc2 0.0000 0.0000 0.3219  3 Cr 2.48, 3 Ga 2.73
Cr3 0.3333 0.6667 0.7571  3 Tc 2.48, 3 Ga 2.62
Ga3 0.6667 0.3333 0.2026  3 Cr 2.62, 3 Tc 2.73, 6 Ga 2.81
Tc3 0.6667 0.3333 0.6552  3 Cr 2.48, 3 Ga 2.73

Properties
N(E_F) = 9.23 states/eV per cell

3 | Computed, not measured: a relaxed CrGaTc crystal at the PBE-GGA level of DFT.

abc: 2.6729 4.1995 4.1995
angles: 120.00 90.00 90.00
With the nearest neighbours (Å) after each atom.
Fractional coordinates of all 3 atoms:
Cr1 0.3574 0.3333 0.6667  3 Tc 2.52, 3 Ga 2.58, 2 Cr 2.67
Tc1 0.6126 0.6667 0.3333  3 Cr 2.52, 3 Ga 2.67, 2 Tc 2.67
Ga1 0.0301 0.0000 0.0000  3 Cr 2.58, 6 Tc 2.67-2.88, 2 Ga 2.67

Properties
N(E_F) = 2.81 states/eV per cell

Which structure is the least stable? The one labeled 1.

1 | Computed, not measured: a relaxed CrGaTc crystal at the PBE-GGA level of DFT.

abc: 6.1096 3.0060 9.5803
angles: 90.00 109.53 90.00
With the nearest neighbours (Å) after each atom.
Fractional coordinates of all 12 atoms:
Cr1 0.0211 0.0000 0.4804  2 Cr 2.33
Ga1 0.6672 0.0000 0.8087  3 Tc 2.64-2.87, 4 Cr 2.70-2.80, 2 Ga 2.74
Cr2 0.0211 0.5000 0.9804  2 Cr 2.33
Cr3 0.2913 0.0000 0.1285  2 Cr 2.33, 2 Tc 2.56, 2 Ga 2.59
Ga2 0.6672 0.5000 0.3087  3 Tc 2.64-2.87, 4 Cr 2.70-2.80, 2 Ga 2.74
Tc1 0.8031 0.5000 0.6260  5 Ga 2.58-2.87, 2 Tc 2.65, 2 Cr 2.69
Ga3 0.4646 0.0000 0.4714  4 Tc 2.58-2.59, 3 Cr 2.59-2.74, 2 Ga 2.74
Tc2 0.1461 0.0000 0.7959  5 Cr 2.56-2.86, 2 Ga 2.59, 2 Tc 2.65
Cr4 0.2913 0.5000 0.6285  2 Cr 2.33, 2 Tc 2.56, 2 Ga 2.59
Ga4 0.4646 0.5000 0.9714  4 Tc 2.58-2.59, 3 Cr 2.59-2.74, 2 Ga 2.74
Tc3 0.8031 0.0000 0.1260  5 Ga 2.58-2.87, 2 Tc 2.65, 2 Cr 2.69
Tc4 0.1461 0.5000 0.2959  5 Cr 2.56-2.86, 2 Ga 2.59, 2 Tc 2.65

Properties
N(E_F) = 9.58 states/eV per cell

2 | Computed, not measured: a relaxed CrGaTc crystal at the PBE-GGA level of DFT.

abc: 3.0248 3.0248 4.9147
angles: 107.92 107.92 90.00
With the nearest neighbours (Å) after each atom.
Fractional coordinates of all 3 atoms:
Cr1 0.6093 0.6093 0.2186  4 Tc 2.51, 4 Ga 2.61
Tc1 0.9614 0.9614 0.9229  4 Cr 2.51, 4 Ga 2.68
Ga1 0.2792 0.2792 0.5585  5 Cr 2.61-2.92, 5 Tc 2.68-2.81

Properties
N(E_F) = 1.14 states/eV per cell

3 | Computed, not measured: a relaxed CrGaTc crystal at the PBE-GGA level of DFT.

abc: 5.2077 4.2763 8.7779
angles: 90.00 123.74 90.00
With the nearest neighbours (Å) after each atom.
Fractional coordinates of all 12 atoms:
Cr1 0.8288 0.5000 0.4793  1 Cr 2.46, 4 Tc 2.50-2.62, 3 Ga 2.64-2.70
Cr2 0.3572 0.0000 0.6675  1 Cr 2.46, 3 Tc 2.54-2.56, 4 Ga 2.56-2.62
Cr3 0.8288 0.0000 0.9793  1 Cr 2.46, 4 Tc 2.50-2.62, 3 Ga 2.64-2.70
Ga1 0.8496 0.5000 0.1622  5 Cr 2.59-2.85, 4 Tc 2.65-2.82, 1 Ga 2.67
Tc1 0.3555 0.0000 0.0099  4 Cr 2.54-2.62, 1 Tc 2.65, 4 Ga 2.67-2.79
Tc2 0.8640 0.5000 0.8452  3 Cr 2.50-2.56, 4 Ga 2.60-2.65, 1 Tc 2.65
Ga2 0.8496 0.0000 0.6622  5 Cr 2.59-2.85, 4 Tc 2.65-2.82, 1 Ga 2.67
Cr4 0.3572 0.5000 0.1675  1 Cr 2.46, 3 Tc 2.54-2.56, 4 Ga 2.56-2.62
Tc3 0.8640 0.0000 0.3452  3 Cr 2.50-2.56, 4 Ga 2.60-2.65, 1 Tc 2.65
Ga3 0.3417 0.0000 0.3233  3 Cr 2.56-2.70, 5 Tc 2.60-2.79, 1 Ga 2.67
Tc4 0.3555 0.5000 0.5099  4 Cr 2.54-2.62, 1 Tc 2.65, 4 Ga 2.67-2.79
Ga4 0.3417 0.5000 0.8233  3 Cr 2.56-2.70, 5 Tc 2.60-2.79, 1 Ga 2.67

Properties
N(E_F) = 9.32 states/eV per cell

4 | Computed, not measured: a relaxed CrGaTc crystal at the PBE-GGA level of DFT.

abc: 4.2522 3.0464 12.7857
angles: 90.00 90.00 90.00
With the nearest neighbours (Å) after each atom.
Fractional coordinates of all 12 atoms:
Cr1 0.5000 0.0000 0.1955  2 Cr 2.36, 4 Ga 2.62
Cr2 0.5000 0.5000 0.6955  2 Cr 2.36, 4 Ga 2.62
Tc1 0.0000 0.0000 0.3559  6 Ga 2.61-2.63, 2 Tc 2.63
Ga1 0.5000 0.5000 0.3776  6 Tc 2.63-2.83, 4 Cr 2.72-2.78
Tc2 0.0000 0.5000 0.5236  4 Ga 2.62-2.83, 2 Tc 2.63, 4 Cr 2.64
Ga2 0.0000 0.0000 0.6900  4 Tc 2.61-2.62, 6 Cr 2.62-2.75
Ga3 0.0000 0.5000 0.1900  4 Tc 2.61-2.62, 6 Cr 2.62-2.75
Ga4 0.5000 0.0000 0.8776  6 Tc 2.63-2.83, 4 Cr 2.72-2.78
Tc3 0.0000 0.0000 0.0236  4 Ga 2.62-2.83, 2 Tc 2.63, 4 Cr 2.64
Tc4 0.0000 0.5000 0.8559  6 Ga 2.61-2.63, 2 Tc 2.63
Cr3 0.5000 0.5000 0.0541  2 Cr 2.36, 4 Tc 2.64
Cr4 0.5000 0.0000 0.5541  2 Cr 2.36, 4 Tc 2.64

Properties
N(E_F) = 8.61 states/eV per cell

Which structure is the least stable? The one labeled 1.

1 | Computed, not measured: a relaxed CrGaTc crystal at the PBE-GGA level of DFT.

abc: 5.1335 2.7276 7.4141
angles: 59.30 76.53 71.45
With the nearest neighbours (Å) after each atom.
Fractional coordinates of all 6 atoms:
Cr1 0.4987 0.0000 0.0000  4 Cr 2.57-2.73, 2 Tc 2.63, 4 Ga 2.72-2.78
Tc1 0.8263 0.8799 0.6869  2 Cr 2.42-2.63, 2 Ga 2.57-2.63
Ga1 0.6876 0.9476 0.3336  5 Tc 2.57-2.81, 3 Cr 2.58-2.78, 3 Ga 2.73-2.84
Cr2 0.9987 0.0000 0.0000  2 Tc 2.42, 2 Cr 2.57, 2 Ga 2.58
Ga2 0.3097 0.0524 0.6664  5 Tc 2.57-2.81, 3 Cr 2.58-2.78, 3 Ga 2.73-2.84
Tc2 0.1711 0.1201 0.3131  2 Cr 2.42-2.63, 2 Ga 2.57-2.63

Properties
N(E_F) = 5.83 states/eV per cell

2 | Computed, not measured: a relaxed CrGaTc crystal at the PBE-GGA level of DFT.

abc: 3.1235 4.1222 12.6268
angles: 90.00 90.00 90.00
With the nearest neighbours (Å) after each atom.
Fractional coordinates of all 12 atoms:
Cr1 0.5000 0.0000 0.7101  4 Tc 2.57-2.63, 4 Ga 2.59
Cr2 0.5000 0.0000 0.0458  2 Ga 2.56, 6 Tc 2.59-2.64
Tc1 0.0000 0.0000 0.8776  4 Ga 2.59, 4 Cr 2.63-2.64
Ga1 0.0000 0.5000 0.7061  6 Cr 2.56-2.59, 2 Ga 2.71
Ga2 0.5000 0.0000 0.3817  6 Tc 2.59-2.62, 2 Ga 2.71
Cr3 0.5000 0.5000 0.5458  2 Ga 2.56, 6 Tc 2.59-2.64
Tc2 0.0000 0.0000 0.5486  6 Cr 2.57-2.59, 4 Ga 2.62-2.86
Tc3 0.0000 0.5000 0.0486  6 Cr 2.57-2.59, 4 Ga 2.62-2.86
Ga3 0.5000 0.5000 0.8817  6 Tc 2.59-2.62, 2 Ga 2.71
Tc4 0.0000 0.5000 0.3776  4 Ga 2.59, 4 Cr 2.63-2.64
Cr4 0.5000 0.5000 0.2101  4 Tc 2.57-2.63, 4 Ga 2.59
Ga4 0.0000 0.0000 0.2061  6 Cr 2.56-2.59, 2 Ga 2.71

Properties
N(E_F) = 9.13 states/eV per cell

Which structure is the least stable? The one labeled 1.